Computed, not measured: crystalline K2LiMoO4 at its relaxed geometry at the PBE+U level of DFT.

Values from the calculation:
* calculated total energy: -5.54 eV per atom

abc: 11.5104 10.1008 6.6565
angles: 84.09 60.79 35.12
Fractional coordinates of all 16 atoms:
K (0.0562, 0.0562, 0.6938)
K (0.3062, 0.3062, 0.9438)
K (0.6938, 0.6938, 0.0562)
K (0.9438, 0.9438, 0.3062)
Li (0.3750, 0.3750, 0.3750)
Li (0.6250, 0.6250, 0.6250)
Mo (0.1250, 0.1250, 0.1250)
Mo (0.8750, 0.8750, 0.8750)
O (0.0339, 0.3029, 0.4037)
O (0.2405, 0.5963, 0.6971)
O (0.3029, 0.0339, 0.7595)
O (0.4037, 0.7595, 0.0339)
O (0.5963, 0.2405, 0.9661)
O (0.6971, 0.9661, 0.2405)
O (0.7595, 0.4037, 0.3029)
O (0.9661, 0.6971, 0.5963)